(1)
# PdAu2F8 (GGA-PBE, optimized geometry)
# Formation energy from raw total energies, meV/atom: -1003
# Energy above the most stable polymorph in this dataset, eV per atom: 0.066
data_PdAu2F8
_symmetry_space_group_name_H-M 'C 1 2/c 1'
_symmetry_Int_Tables_number 15
_symmetry_space_group_name_Hall '-C 2yc'
_cell_length_a 13.036
_cell_length_b 6.803
_cell_length_c 9.393
_cell_angle_alpha 90.00
_cell_angle_beta 118.67
_cell_angle_gamma 90.00
loop_
_atom_site_label
_atom_site_type_symbol
_atom_site_fract_x
_atom_site_fract_y
_atom_site_fract_z
Pd1 Pd 0.000 0.041 0.250
Au1 Au 0.181 0.240 0.063
F1 F 0.065 0.166 0.680
F2 F 0.070 0.254 0.178
F3 F 0.137 0.038 0.472
F4 F 0.215 0.493 0.644



(2)
# ReW2C (GGA-PBE, optimized geometry)
# Energy, eV for the cell shown: -141.45
# N(E_F), states/eV/f.u.: 2.17
data_ReW2C
_symmetry_space_group_name_H-M 'R -3 m'
_symmetry_Int_Tables_number 166
_symmetry_space_group_name_Hall '-R 3 2"'
_cell_length_a 3.0086
_cell_length_b 3.0086
_cell_length_c 20.4915
_cell_angle_alpha 90.00
_cell_angle_beta 90.00
_cell_angle_gamma 120.00
loop_
_atom_site_label
_atom_site_type_symbol
_atom_site_fract_x
_atom_site_fract_y
_atom_site_fract_z
Re1 Re 0.0000 0.0000 0.0000
W1 W 0.0000 0.0000 0.2259
C1 C 0.0000 0.0000 0.5000



(3)
# LiIn6Hg5 (GGA-PBE, optimized geometry)
# Energy, eV for the cell shown: -20.23
# N(E_F), states/eV/f.u.: 4.68
data_LiIn6Hg5
_symmetry_space_group_name_H-M 'P -1'
_symmetry_Int_Tables_number 2
_symmetry_space_group_name_Hall '-P 1'
_cell_length_a 4.142
_cell_length_b 8.633
_cell_length_c 9.757
_cell_angle_alpha 108.65
_cell_angle_beta 101.77
_cell_angle_gamma 103.52
loop_
_atom_site_label
_atom_site_type_symbol
_atom_site_fract_x
_atom_site_fract_y
_atom_site_fract_z
Li1 Li 0.000 0.000 0.000
In1 In 0.244 0.741 0.750
In2 In 0.250 0.421 0.083
In3 In 0.252 0.085 0.415
Hg1 Hg 0.001 0.319 0.679
Hg2 Hg 0.498 0.854 0.137
Hg3 Hg 0.500 0.500 0.500



(4)
# Y2Cr2Ge (GGA-PBE, optimized geometry)
# Energy, eV for the cell shown: -73.25
# N(E_F), states/eV/f.u.: 4.63
data_Y2Cr2Ge
_symmetry_space_group_name_H-M 'P 4/m b m'
_symmetry_Int_Tables_number 127
_symmetry_space_group_name_Hall '-P 4 2ab'
_cell_length_a 6.691
_cell_length_b 6.691
_cell_length_c 4.436
_cell_angle_alpha 90.00
_cell_angle_beta 90.00
_cell_angle_gamma 90.00
loop_
_atom_site_label
_atom_site_type_symbol
_atom_site_fract_x
_atom_site_fract_y
_atom_site_fract_z
Y1 Y 0.185 0.315 0.000
Cr1 Cr 0.103 0.603 0.500
Ge1 Ge 0.000 0.000 0.500



(5)
# MnTlTcNi2 (GGA-PBE, optimized geometry)
# Energy, eV for the cell shown: -21.94
# N(E_F), states/eV/f.u.: 7.62
data_MnTlTcNi2
_symmetry_space_group_name_H-M 'P 4/m m m'
_symmetry_Int_Tables_number 123
_symmetry_space_group_name_Hall '-P 4 2'
_cell_length_a 4.596
_cell_length_b 4.596
_cell_length_c 5.017
_cell_angle_alpha 90.00
_cell_angle_beta 90.00
_cell_angle_gamma 90.00
loop_
_atom_site_label
_atom_site_type_symbol
_atom_site_fract_x
_atom_site_fract_y
_atom_site_fract_z
Mn1 Mn 0.000 0.000 0.000
Tl1 Tl 0.500 0.500 0.500
Tc1 Tc 0.500 0.500 0.000
Ni1 Ni 0.000 0.500 0.500



(6)
# AlSnSb2P (GGA-PBE, optimized geometry)
# Formation energy from raw total energies, meV/atom: 962
# N(E_F), states/eV/f.u.: 4.80
data_AlSnSb2P
_symmetry_space_group_name_H-M 'P 4/m m m'
_symmetry_Int_Tables_number 123
_symmetry_space_group_name_Hall '-P 4 2'
_cell_length_a 5.678
_cell_length_b 5.678
_cell_length_c 4.994
_cell_angle_alpha 90.00
_cell_angle_beta 90.00
_cell_angle_gamma 90.00
loop_
_atom_site_label
_atom_site_type_symbol
_atom_site_fract_x
_atom_site_fract_y
_atom_site_fract_z
Al1 Al 0.000 0.000 0.000
Sn1 Sn 0.500 0.500 0.500
Sb1 Sb 0.000 0.500 0.500
P1 P 0.500 0.500 0.000



(7)
# AcYSn2Pd5 (GGA-PBE, optimized geometry)
# Energy, eV for the cell shown: -50.62
# N(E_F), states/eV/f.u.: 3.67
data_AcYSn2Pd5
_symmetry_space_group_name_H-M 'P 4/m m m'
_symmetry_Int_Tables_number 123
_symmetry_space_group_name_Hall '-P 4 2'
_cell_length_a 4.522
_cell_length_b 4.522
_cell_length_c 9.458
_cell_angle_alpha 90.00
_cell_angle_beta 90.00
_cell_angle_gamma 90.00
loop_
_atom_site_label
_atom_site_type_symbol
_atom_site_fract_x
_atom_site_fract_y
_atom_site_fract_z
Ac1 Ac 0.000 0.000 0.000
Y1 Y 0.000 0.000 0.500
Sn1 Sn 0.500 0.500 0.355
Pd1 Pd 0.000 0.500 0.217
Pd2 Pd 0.500 0.500 0.000



(8)
# YBeAl2 (GGA-PBE, optimized geometry)
# Energy, eV for the cell shown: -35.48
# N(E_F), states/eV/f.u.: 2.30
data_YBeAl2
_symmetry_space_group_name_H-M 'I m m 2'
_symmetry_Int_Tables_number 44
_symmetry_space_group_name_Hall 'I 2 -2'
_cell_length_a 4.039
_cell_length_b 4.235
_cell_length_c 8.963
_cell_angle_alpha 90.00
_cell_angle_beta 90.00
_cell_angle_gamma 90.00
loop_
_atom_site_label
_atom_site_type_symbol
_atom_site_fract_x
_atom_site_fract_y
_atom_site_fract_z
Y1 Y 0.000 0.000 0.000
Be1 Be 0.000 0.500 0.243
Al1 Al 0.000 0.000 0.581
Al2 Al 0.000 0.500 0.764



Copy entry 4 word for word.
# Y2Cr2Ge (GGA-PBE, optimized geometry)
# Energy, eV for the cell shown: -73.25
# N(E_F), states/eV/f.u.: 4.63
data_Y2Cr2Ge
_symmetry_space_group_name_H-M 'P 4/m b m'
_symmetry_Int_Tables_number 127
_symmetry_space_group_name_Hall '-P 4 2ab'
_cell_length_a 6.691
_cell_length_b 6.691
_cell_length_c 4.436
_cell_angle_alpha 90.00
_cell_angle_beta 90.00
_cell_angle_gamma 90.00
loop_
_atom_site_label
_atom_site_type_symbol
_atom_site_fract_x
_atom_site_fract_y
_atom_site_fract_z
Y1 Y 0.185 0.315 0.000
Cr1 Cr 0.103 0.603 0.500
Ge1 Ge 0.000 0.000 0.500